1.
A plane-wave DFT calculation with PBE was carried out for a relaxed structure of PbCl2.

For the formation energy without anion corrections, the calculation gives -990 meV/atom. For the magnetization, the calculation gives 0.000 μB/cell.

a b c (Å): 3.670 3.670 28.226
angles (deg): 90.00 90.00 90.00
Space group I4_1/amd (No. 141, origin choice 2)
One atom of each set of equivalent atoms:
1 Pb 0.000 0.250 0.375 [4 per cell]
2 Cl 0.000 0.250 0.817 [8 per cell]



2.
A plane-wave DFT calculation with PBE was carried out for a relaxed structure of LiCaTcN2.

For the formation energy without anion corrections, the calculation gives -428 meV/atom. For the magnetization, the calculation gives 0.000 μB/cell.

a b c (Å): 11.153 3.518 6.847
angles (deg): 90.00 102.24 90.00
Space group C2/m (No. 12)
One atom of each set of equivalent atoms:
1 Li 0.186 0.000 0.049 [4 per cell]
2 Ca 0.138 0.000 0.644 [4 per cell]
3 Tc 0.050 0.500 0.190 [4 per cell]
4 N 0.109 0.000 0.290 [4 per cell]
5 N 0.128 0.500 0.902 [4 per cell]



3.
A plane-wave DFT calculation with PBE was carried out for a relaxed structure of GaPd4Se.

For the formation energy without anion corrections, the calculation gives -397 meV/atom. The offset from the most stable computed form comes out at 0 meV per atom. For the magnetization, the calculation gives 0.000 μB/cell.

a b c (Å): 6.888 3.333 16.663
angles (deg): 90.00 90.00 90.00
Space group Pnma (No. 62)
One atom of each set of equivalent atoms:
1 Ga 0.217 0.250 0.192 [4 per cell]
2 Pd 0.016 0.750 0.284 [4 per cell]
3 Pd 0.043 0.750 0.573 [4 per cell]
4 Pd 0.117 0.750 0.073 [4 per cell]
5 Pd 0.153 0.750 0.836 [4 per cell]
6 Se 0.248 0.750 0.445 [4 per cell]



4.
A plane-wave DFT calculation with PBE was carried out for a relaxed structure of CsInGe.

For the magnetization, the calculation gives 0.000 μB/cell. Its total DFT energy (no corrections) is -31.94 eV per cell.

a b c (Å): 12.362 4.584 9.498
angles (deg): 90.00 90.00 90.00
Space group Pnma (No. 62)
One atom of each set of equivalent atoms:
1 Cs 0.211 0.250 0.035 [4 per cell]
2 In 0.035 0.250 0.668 [4 per cell]
3 Ge 0.080 0.250 0.380 [4 per cell]



5.
A plane-wave DFT calculation with PBE was carried out for a relaxed structure of Ac5Cd2N2.

For the formation energy without anion corrections, the calculation gives -580 meV/atom. For the magnetization, the calculation gives 0.000 μB/cell.

a b c (Å): 19.769 7.815 7.615
angles (deg): 90.00 90.00 90.00
Space group Ima2 (No. 46)
One atom of each set of equivalent atoms:
1 Ac 0.012 0.244 0.000 [8 per cell]
2 Ac 0.140 0.554 0.773 [8 per cell]
3 Ac 0.250 0.158 0.903 [4 per cell]
4 Cd 0.109 0.513 0.240 [8 per cell]
5 N 0.000 0.000 0.253 [4 per cell]
6 N 0.250 0.074 0.221 [4 per cell]



6.
A plane-wave DFT calculation with PBE was carried out for a relaxed structure of SmPaIr.

The offset from the most stable computed form comes out at 355 meV per atom. For the magnetization, the calculation gives 0.001 μB/cell.

a b c (Å): 4.5548 4.5548 4.3762
angles (deg): 90.00 90.00 120.00
Space group P3m1 (No. 156)
One atom of each set of equivalent atoms:
1 Sm 0.0000 0.0000 0.0000 [1 per cell]
2 Pa 0.6667 0.3333 0.5342 [1 per cell]
3 Ir 0.3333 0.6667 0.4452 [1 per cell]



7.
A plane-wave DFT calculation with PBE was carried out for a relaxed structure of Na2Sc2Os.

For the magnetization, the calculation gives 0.000 μB/cell. Its total DFT energy (no corrections) is -49.89 eV per cell.

a b c (Å): 6.754 6.754 5.917
angles (deg): 90.00 90.00 90.00
Space group P4/mbm (No. 127)
One atom of each set of equivalent atoms:
1 Na 0.180 0.320 0.000 [4 per cell]
2 Sc 0.174 0.674 0.500 [4 per cell]
3 Os 0.000 0.000 0.500 [2 per cell]



8.
A plane-wave DFT calculation with PBE was carried out for a relaxed structure of BHI3.

The offset from the most stable computed form comes out at 0 meV per atom. For the magnetization, the calculation gives 0.000 μB/cell.

a b c (Å): 6.888 11.210 11.191
angles (deg): 90.00 101.15 90.00
Space group P2_1/c (No. 14)
One atom of each set of equivalent atoms:
1 B 0.035 0.136 0.095 [4 per cell]
2 H 0.125 0.174 0.393 [4 per cell]
3 I 0.046 0.686 0.984 [4 per cell]
4 I 0.202 0.513 0.411 [4 per cell]
5 I 0.266 0.140 0.261 [4 per cell]